Compound: Ba2LaHg
Source: the Alexandria database
Functional: meta-GGA SCAN
Structure: PBEsol geometry

Calculated values
DOS(E_F) (states/eV/f.u.): 4.80
Calculated formation energy (eV per formula unit): -1.24
Crystal system: tetragonal
Symmetry: P4mm, No. 99

a b c (Å): 4.0355 4.0355 9.9300
angles (deg): 90.00 90.00 90.00
With the nearest neighbours (Å) after each atom.
Positions (direct):
Hg 0.0000 0.0000 0.5321  4 La 3.25, 4 Ba 3.58
Ba 0.0000 0.0000 0.9648  4 La 3.96, 4 Ba 4.04, 1 Hg 4.30
Ba 0.5000 0.5000 0.3148  4 Hg 3.58, 1 La 3.71
La 0.5000 0.5000 0.6883  4 Hg 3.25

---

Compound: CoPbF2
Source: the Alexandria database
Functional: meta-GGA SCAN
Structure: PBEsol geometry

Calculated values
Energy above the lowest structure with this stoichiometry (meV/atom): 740
DOS(E_F) (states/eV/f.u.): 3.48
E_form (uncorrected) (eV/atom): -0.74
Crystal system: cubic
Symmetry: Fm-3m, No. 225

a b c (Å): 4.3368 4.3368 4.3368
angles (deg): 60.00 60.00 60.00
With the nearest neighbours (Å) after each atom.
Positions (direct):
Pb 0.5000 0.5000 0.5000  8 F 2.66
Co 0.0000 0.0000 0.0000  8 F 2.66
F 0.2500 0.2500 0.2500  4 Pb 2.66, 4 Co 2.66
F 0.7500 0.7500 0.7500  4 Co 2.66, 4 Pb 2.66

---

Compound: Ba2SmCu3O6
Source: the Alexandria database
Functional: meta-GGA SCAN
Structure: PBEsol geometry

Calculated values
DOS(E_F) (states/eV/f.u.): 5.59
E_form (uncorrected) (eV/atom): -2.11
Crystal system: tetragonal
Symmetry: P4/mmm, No. 123

a b c (Å): 3.8538 3.8538 11.8771
angles (deg): 90.00 90.00 90.00
With the nearest neighbours (Å) after each atom.
Positions (direct):
Ba 0.0000 0.0000 0.1949  8 O 2.78-2.88
Ba 0.0000 0.0000 0.8051  8 O 2.78-2.88
Sm 0.0000 0.0000 0.5000  8 O 2.43
Cu 0.5000 0.5000 0.3638  4 O 1.93
Cu 0.5000 0.5000 0.0000  2 O 1.78
Cu 0.5000 0.5000 0.6362  4 O 1.93
O 0.0000 0.5000 0.3750  2 Cu 1.93
O 0.5000 0.0000 0.3750  2 Cu 1.93
O 0.0000 0.5000 0.6250  2 Cu 1.93
O 0.5000 0.5000 0.1502  1 Cu 1.78
O 0.5000 0.5000 0.8498  1 Cu 1.78
O 0.5000 0.0000 0.6250  2 Cu 1.93

---

Compound: PtWS3
Source: the Alexandria database
Functional: meta-GGA SCAN
Structure: PBEsol geometry

Calculated values
DOS(E_F) (states/eV/f.u.): 2.79
E_form (uncorrected) (eV/atom): 1.24
Crystal system: cubic
Symmetry: Pm-3m, No. 221

a b c (Å): 4.5603 4.5603 4.5603
angles (deg): 90.00 90.00 90.00
With the nearest neighbours (Å) after each atom.
Positions (direct):
S 0.0000 0.5000 0.0000  2 Pt 2.28
S 0.0000 0.0000 0.5000  2 Pt 2.28
S 0.5000 0.0000 0.0000  2 Pt 2.28
W 0.5000 0.5000 0.5000  12 S 3.22
Pt 0.0000 0.0000 0.0000  6 S 2.28

---

Compound: Ba2ZnTeO6
Source: the Alexandria database
Functional: meta-GGA SCAN
Structure: PBEsol geometry

Calculated values
E_form (uncorrected) (eV/atom): -2.20
Crystal system: cubic
Symmetry: Fm-3m, No. 225

a b c (Å): 5.7560 5.7560 5.7560
angles (deg): 60.00 60.00 60.00
With the nearest neighbours (Å) after each atom.
Positions (direct):
Ba 0.7500 0.7500 0.7500  12 O 2.88
Ba 0.2500 0.2500 0.2500  12 O 2.88
Zn 0.0000 0.0000 0.0000  6 O 2.12
Te 0.5000 0.5000 0.5000  6 O 1.95
O 0.2603 0.2603 0.7397  1 Te 1.95, 1 Zn 2.12
O 0.7397 0.2603 0.7397  1 Te 1.95, 1 Zn 2.12
O 0.7397 0.2603 0.2603  1 Te 1.95, 1 Zn 2.12
O 0.7397 0.7397 0.2603  1 Te 1.95, 1 Zn 2.12
O 0.2603 0.7397 0.2603  1 Te 1.95, 1 Zn 2.12
O 0.2603 0.7397 0.7397  1 Te 1.95, 1 Zn 2.12

---

Compound: NbCu3Sb
Source: the Alexandria database
Functional: meta-GGA SCAN
Structure: PBEsol geometry

Calculated values
DOS(E_F) (states/eV/f.u.): 3.97
E_form (uncorrected) (eV/atom): 1.41
Crystal system: cubic
Symmetry: Pm-3m, No. 221

a b c (Å): 4.6892 4.6892 4.6892
angles (deg): 90.00 90.00 90.00
With the nearest neighbours (Å) after each atom.
Positions (direct):
Sb 0.5000 0.5000 0.5000  12 Cu 3.32
Nb 0.0000 0.0000 0.0000  6 Cu 2.34
Cu 0.0000 0.5000 0.0000  2 Nb 2.34
Cu 0.0000 0.0000 0.5000  2 Nb 2.34
Cu 0.5000 0.0000 0.0000  2 Nb 2.34

---

Compound: CaTl2Pb
Source: the Alexandria database
Functional: meta-GGA SCAN
Structure: PBEsol geometry

Calculated values
DOS(E_F) (states/eV/f.u.): 1.66
Calculated formation energy (eV per formula unit): -1.42
Crystal system: tetragonal
Symmetry: I4/mmm, No. 139

a b c (Å): 4.7406 4.7406 5.9338
angles (deg): 113.54 113.54 90.00
With the nearest neighbours (Å) after each atom.
Positions (direct):
Pb 0.0000 0.0000 0.0000  4 Ca 3.35, 8 Tl 3.41
Tl 0.7500 0.2500 0.5000  4 Tl 3.35, 4 Ca 3.41, 4 Pb 3.41
Tl 0.2500 0.7500 0.5000  4 Tl 3.35, 4 Pb 3.41, 4 Ca 3.41
Ca 0.5000 0.5000 0.0000  4 Pb 3.35, 8 Tl 3.41

---

Compound: SrTcNi2
Source: the Alexandria database
Functional: meta-GGA SCAN
Structure: PBEsol geometry

Calculated values
Energy above the lowest structure with this stoichiometry (meV/atom): 374
DOS(E_F) (states/eV/f.u.): 4.01
Calculated formation energy (eV per formula unit): 3.77
Crystal system: cubic
Symmetry: F-43m, No. 216

a b c (Å): 4.4248 4.4248 4.4248
angles (deg): 60.00 60.00 60.00
With the nearest neighbours (Å) after each atom.
Positions (direct):
Ni 0.0000 0.0000 0.0000  4 Ni 2.71, 4 Tc 2.71
Ni 0.7500 0.7500 0.7500  4 Ni 2.71, 4 Sr 2.71
Sr 0.5000 0.5000 0.5000  4 Tc 2.71, 4 Ni 2.71
Tc 0.2500 0.2500 0.2500  4 Ni 2.71, 4 Sr 2.71

---

Compound: InRe2PdS
Source: the Alexandria database
Functional: meta-GGA SCAN
Structure: PBEsol geometry

Calculated values
DOS(E_F) (states/eV/f.u.): 3.09
E_form (uncorrected) (eV/atom): 2.67
Crystal system: tetragonal
Symmetry: P4/mmm, No. 123

a b c (Å): 4.7548 4.9872 4.9872
angles (deg): 90.00 90.00 90.00
With the nearest neighbours (Å) after each atom.
Positions (direct):
Re 0.0000 0.0000 0.5000  2 In 2.49
Re 0.0000 0.5000 0.0000  2 In 2.49
S 0.5000 0.5000 0.5000  8 Re 3.45, 4 Pd 3.53
Pd 0.5000 0.0000 0.0000  2 In 2.38
In 0.0000 0.0000 0.0000  2 Pd 2.38, 4 Re 2.49

---

Compound: Y2ZnB
Source: the Alexandria database
Functional: meta-GGA SCAN
Structure: PBEsol geometry

Calculated values
DOS(E_F) (states/eV/f.u.): 2.75
Calculated formation energy (eV per formula unit): -0.24
Crystal system: cubic
Symmetry: Fm-3m, No. 225

a b c (Å): 4.7308 4.7308 4.7308
angles (deg): 60.00 60.00 60.00
With the nearest neighbours (Å) after each atom.
Positions (direct):
Y 0.2500 0.2500 0.2500  4 Zn 2.90, 4 B 2.90
Y 0.7500 0.7500 0.7500  4 B 2.90, 4 Zn 2.90
Zn 0.5000 0.5000 0.5000  8 Y 2.90
B 0.0000 0.0000 0.0000  8 Y 2.90

---

Compound: BaAuIO2
Source: the Alexandria database
Functional: meta-GGA SCAN
Structure: PBEsol geometry

Calculated values
DOS(E_F) (states/eV/f.u.): 3.04
E_form (uncorrected) (eV/atom): -0.18
Crystal system: tetragonal
Symmetry: P4/mmm, No. 123

a b c (Å): 4.3268 4.3268 7.3494
angles (deg): 90.00 90.00 90.00
With the nearest neighbours (Å) after each atom.
Positions (direct):
I 0.0000 0.0000 0.5000  4 Au 3.06
Au 0.5000 0.5000 0.5000  4 I 3.06
Ba 0.0000 0.0000 0.0000  4 O 2.16
O 0.0000 0.5000 0.0000  2 Ba 2.16
O 0.5000 0.0000 0.0000  2 Ba 2.16

---

Compound: KRb2BiOs
Source: the Alexandria database
Functional: meta-GGA SCAN
Structure: PBEsol geometry

Calculated values
DOS(E_F) (states/eV/f.u.): 2.42
Calculated formation energy (eV per formula unit): 3.41
Crystal system: tetragonal
Symmetry: P4/mmm, No. 123

a b c (Å): 5.1019 6.9350 6.9350
angles (deg): 90.00 90.00 90.00
With the nearest neighbours (Å) after each atom.
Positions (direct):
K 0.5000 0.5000 0.5000  8 Rb 4.30
Os 0.5000 0.0000 0.0000  2 Bi 2.55
Bi 0.0000 0.0000 0.0000  2 Os 2.55
Rb 0.0000 0.0000 0.5000  2 Bi 3.47
Rb 0.0000 0.5000 0.0000  2 Bi 3.47